[1]
Below is Sm2SiTeO4 after structural relaxation, with properties calculated at the GGA-PBE level.

Cell and atoms, written as extended XYZ:
```
32
Lattice="9.731 0.000 0.000 0.000 6.346 0.000 -0.744 0.000 8.589" Properties=species:S:1:pos:R:3 pbc="T T T"
Sm 0.910 0.976 1.662
Sm 0.538 2.197 5.956
Sm 3.142 4.418 2.876
Sm 2.770 5.101 7.171
Sm 6.218 1.245 1.418
Sm 5.846 1.928 5.712
Sm 8.450 4.149 2.633
Sm 8.078 5.370 6.927
Si 1.184 4.388 0.484
Si 0.812 5.131 4.778
Si 8.176 1.215 3.810
Si 7.804 1.958 8.105
Te 3.683 1.346 3.308
Te 3.311 1.827 7.602
Te 5.676 4.519 0.987
Te 5.305 5.000 5.281
O -0.466 1.229 7.916
O -0.095 1.944 3.622
O 0.565 4.021 7.489
O 0.937 5.498 3.195
O 1.434 3.222 1.582
O 1.062 6.296 5.876
O 2.004 4.018 5.063
O 2.375 5.500 0.769
O 6.612 0.845 7.820
O 6.984 2.327 3.526
O 7.925 0.050 2.712
O 7.554 3.123 7.007
O 8.051 0.848 5.394
O 8.422 2.325 1.100
O 9.082 4.401 4.967
O 9.454 5.117 0.673
```

Properties
* excess energy over the best structure of this formula in the dataset: 8 meV per atom
* VASP energy: -0.279 hartree per atom
* space-group type: P2_1/c (14)

---

[2]
Below is ZrCoP after structural relaxation, with properties calculated at the GGA-PBE level.

Cell and atoms, written as extended XYZ:
```
9
Lattice="6.282 0.000 0.000 -3.141 5.440 0.000 0.000 0.000 3.715" Properties=species:S:1:pos:R:3 pbc="T T T"
Zr -1.845 3.196 0.000
Zr 1.295 2.244 0.000
Zr 3.691 0.000 0.000
Co -0.772 1.337 1.857
Co 1.544 0.000 1.857
Co 2.369 4.103 1.857
P 0.000 0.000 0.000
P 0.000 3.627 1.857
P 3.141 1.813 1.857
```

Properties
* VASP energy: -0.297 hartree per atom
* space-group type: P-62m (189)